(1)
Compound: Y5Ho12In2
Source: Alexandria via LeMat-Bulk
Functional: PBE
Structure: optimized geometry

Cell lengths 8.9673, 8.9673, 8.3310 Å; angles 91.46, 91.46, 61.54 degrees
Last column: nearest neighbours and their distance in Å.
Atoms (fractional coordinates):
Y 0.0000 0.0000 0.0000  10 Ho 3.45-3.63, 2 Y 3.67
Y 0.2354 0.2354 0.0793  10 Ho 3.34-3.69, 2 Y 3.61-3.67
Y 0.3095 0.3095 0.4948  2 In 3.37, 8 Ho 3.47-3.67, 1 Y 3.61
Y 0.6905 0.6905 0.5052  2 In 3.37, 8 Ho 3.47-3.67, 1 Y 3.61
Y 0.7646 0.7646 0.9207  10 Ho 3.34-3.69, 2 Y 3.61-3.67
Ho 0.0369 0.6654 0.2610  1 In 3.24, 4 Ho 3.33-3.56, 2 Y 3.54-3.55
Ho 0.0851 0.0851 0.3879  5 Ho 3.26-3.50, 2 In 3.36, 3 Y 3.45-3.54
Ho 0.1786 0.5716 0.8386  5 Ho 3.28-3.61, 4 Y 3.35-3.62, 1 In 3.46
Ho 0.3346 0.9631 0.7390  1 In 3.24, 4 Ho 3.33-3.56, 2 Y 3.54-3.55
Ho 0.4284 0.8214 0.1614  5 Ho 3.28-3.61, 4 Y 3.35-3.62, 1 In 3.46
Ho 0.4475 0.4475 0.1739  2 In 3.26, 7 Ho 3.28-3.48, 2 Y 3.34-3.47
Ho 0.5525 0.5525 0.8261  2 In 3.26, 7 Ho 3.28-3.48, 2 Y 3.34-3.47
Ho 0.5716 0.1786 0.8386  5 Ho 3.28-3.61, 4 Y 3.35-3.62, 1 In 3.46
Ho 0.6654 0.0369 0.2610  1 In 3.24, 4 Ho 3.33-3.56, 2 Y 3.54-3.55
Ho 0.8214 0.4284 0.1614  5 Ho 3.28-3.61, 4 Y 3.35-3.62, 1 In 3.46
Ho 0.9149 0.9149 0.6121  5 Ho 3.26-3.50, 2 In 3.36, 3 Y 3.45-3.54
Ho 0.9631 0.3346 0.7390  1 In 3.24, 4 Ho 3.33-3.56, 2 Y 3.54-3.55
In 0.3201 0.6799 0.5000  8 Ho 3.24-3.46, 1 In 3.30, 2 Y 3.37
In 0.6799 0.3201 0.5000  8 Ho 3.24-3.46, 1 In 3.30, 2 Y 3.37

Final energy, eV per cell: -92.88
DOS(E_F), states/eV/f.u.: 28.725
Spin magnetization, μB/cell: 0.00

(2)
Compound: TbTiPdRh
Source: Alexandria via LeMat-Bulk
Functional: PBE
Structure: optimized geometry

Cell lengths 4.6885, 4.6885, 4.6885 Å; angles 60.00, 60.00, 60.00 degrees
Last column: nearest neighbours and their distance in Å.
Atoms (fractional coordinates):
Tb 0.0000 0.0000 0.0000  4 Rh 2.87, 4 Pd 2.87
Ti 0.5000 0.5000 0.5000  4 Rh 2.87, 4 Pd 2.87
Pd 0.7500 0.7500 0.7500  4 Tb 2.87, 4 Ti 2.87
Rh 0.2500 0.2500 0.2500  4 Tb 2.87, 4 Ti 2.87

Final energy, eV per cell: -27.46
DOS(E_F), states/eV/f.u.: 5.211
Spin magnetization, μB/cell: 0.01